Compound: Pu2TiIn
Source: Alexandria via LeMat-Bulk
Functional: GGA-PBE
Structure: optimized geometry

Lattice parameters (Å, degrees): 5.1814 5.1814 5.1814 60.00 60.00 60.00
Each line ends with the local moment (μB).
Fractional coordinates of all 4 atoms:
Pu 0.7500 0.7500 0.7500  5.41
In 0.0000 0.0000 0.0000  -0.04
Pu 0.2500 0.2500 0.2500  5.41
Ti 0.5000 0.5000 0.5000  1.08

Results
total magnetization: 12.86 Bohr magnetons per cell
calculated formation energy: 0.20 eV per atom
uncorrected energy: -38.5 eV/f.u.